Density functional theory data (PBE) for crystalline Na5SrCl7 at its relaxed geometry.

Cell and atoms, written as POSCAR:
```
Na5SrCl7
1.0
6.6519 -2.0184 0.0000
6.6519 2.0184 0.0000
-0.0513 0.0000 23.7124
Na Sr Cl
10 2 14
Cartesian
0.0000 0.0000 0.0000
13.2880 0.0000 5.0555
1.0273 0.0000 16.9191
1.0517 0.0000 11.8656
3.4994 0.0000 6.7682
3.4652 0.0000 22.0030
7.1698 0.0000 8.4612
7.1367 0.0000 20.3159
10.8096 0.0000 18.6290
10.8411 0.0000 10.1528
4.4085 0.0000 14.4105
9.9297 0.0000 2.5138
1.2049 0.0000 2.5297
2.2875 0.0000 19.4552
2.3231 0.0000 9.3256
4.6739 0.0000 4.2497
4.6923 0.0000 0.8001
5.9057 0.0000 17.6892
5.9434 0.0000 11.0726
8.3978 0.0000 5.8474
8.3695 0.0000 22.9384
9.6390 0.0000 16.1184
9.6678 0.0000 12.6710
11.9866 0.0000 21.1754
12.0179 0.0000 7.5954
13.1333 0.0000 14.3899
```

Values from the calculation:
Calculated volume in A^3/atom: 24.5
Calculated density in g/cm³: 2.4
Uncorrected formation energy in meV/atom: -1950
Space-group type: Cm
Total energy in eV/cell: -93.1

***

Density functional theory data (PBE) for crystalline La2VTcN5 at its relaxed geometry.

Cell and atoms, written as POSCAR:
```
La2VTcN5
1.0
1.7121 -7.0469 0.0000
1.7121 7.0469 0.0000
0.0000 0.0000 10.0605
La V Tc N
4 2 2 10
Cartesian
1.7121 5.3353 5.0302
1.7121 5.1573 1.2441
1.7121 -5.1573 6.2743
1.7121 -5.3353 0.0000
1.7121 0.8365 2.6838
1.7121 -0.8365 7.7140
1.7121 4.0949 8.4524
1.7121 -4.0949 3.4222
1.7121 6.4332 8.5147
1.7121 2.8589 4.6054
1.7121 2.5686 1.9908
1.7121 2.2102 8.2965
1.7121 0.0131 1.1400
1.7121 -0.0131 6.1702
1.7121 -2.2102 3.2662
1.7121 -2.5686 7.0210
1.7121 -2.8589 9.6356
1.7121 -6.4332 3.4844
```

Values from the calculation:
Calculated volume in A^3/atom: 13.5
Calculated density in g/cm³: 6.8
Uncorrected formation energy in meV/atom: -936
Space-group type: Cmc2_1
Total energy in eV/cell: -158.8

***

Density functional theory data (PBE) for crystalline K4CuP at its relaxed geometry.

Cell and atoms, written as POSCAR:
```
K4CuP
1.0
0.0000 4.6649 4.6649
4.6649 0.0000 4.6649
4.6649 4.6649 0.0000
K Cu P
4 1 1
Cartesian
1.1635 1.1635 1.1635
3.5014 3.5014 1.1635
3.5014 1.1635 3.5014
1.1635 3.5014 3.5014
4.6649 4.6649 4.6649
6.9973 6.9973 6.9973
```

Values from the calculation:
Calculated volume in A^3/atom: 33.8
Calculated density in g/cm³: 2.1
Space-group type: F-43m
Total energy in eV/cell: -10.1
Energy relative to the elements in eV per atom: 0.627

***

Density functional theory data (PBE) for crystalline Ag2Pd3Pt at its relaxed geometry.

Cell and atoms, written as POSCAR:
```
Ag2Pd3Pt
1.0
5.9645 -3.9377 0.0000
5.9645 3.9377 0.0000
-1.7208 0.0000 4.2236
Ag Pd Pt
4 6 2
Cartesian
3.3947 1.9986 2.6382
5.9531 1.9986 3.6972
4.2551 -1.9986 0.5264
6.8135 -1.9986 1.5854
5.5343 3.2551 1.0559
2.9996 0.6535 0.0072
2.1392 -0.6535 2.1189
8.0690 0.6535 2.1046
7.2086 -0.6535 4.2164
4.6739 -3.2551 3.1677
5.5343 0.6176 1.0559
4.6739 -0.6176 3.1677
```

Values from the calculation:
Calculated volume in A^3/atom: 16.5
Calculated density in g/cm³: 12.2
Energy above the lowest structure with this stoichiometry in eV/atom: 0.0659
Space-group type: C2/c
Total energy in eV/cell: -54.0
Energy relative to the elements in eV per atom: 0.052

***

Density functional theory data (PBE) for crystalline BaAcMoN4 at its relaxed geometry.

Cell and atoms, written as POSCAR:
```
BaAcMoN4
1.0
6.4401 0.0000 0.0000
0.0000 6.1448 0.0000
-2.1583 0.0000 7.3062
Ba Ac Mo N
2 2 2 8
Cartesian
0.4297 1.5362 3.0739
3.8521 4.6086 4.2323
-0.1618 1.5362 6.9109
4.4437 4.6086 0.3953
1.2030 4.6086 1.3400
3.0788 1.5362 5.9662
-0.3421 4.6086 2.4191
-1.6028 4.6086 6.8951
2.3391 3.1332 1.5482
2.3391 6.0841 1.5482
1.9427 0.0608 5.7580
1.9427 3.0117 5.7580
5.8847 1.5362 0.4111
4.6239 1.5362 4.8871
```

Values from the calculation:
Calculated volume in A^3/atom: 20.7
Calculated density in g/cm³: 5.9
Uncorrected formation energy in meV/atom: -678
Space-group type: P2_1/m
Total energy in eV/cell: -109.8

***

Density functional theory data (PBE) for crystalline Ca3Mg7Pd4 at its relaxed geometry.

Cell and atoms, written as POSCAR:
```
Ca3Mg7Pd4
1.0
8.2543 -2.1677 0.0000
8.2543 2.1677 0.0000
-5.9869 0.0000 8.6941
Ca Mg Pd
3 7 4
Cartesian
0.0000 0.0000 0.0000
3.3205 0.0000 2.5528
7.2012 0.0000 6.1413
-2.9934 0.0000 4.3470
0.2356 0.0000 3.7077
-0.6513 0.0000 8.5247
3.7826 0.0000 6.2152
6.7391 0.0000 2.4789
11.1730 0.0000 0.1694
10.2861 0.0000 4.9864
-3.0982 0.0000 7.1088
1.0975 0.0000 6.3628
9.4241 0.0000 2.3313
13.6199 0.0000 1.5853
```

Values from the calculation:
Calculated volume in A^3/atom: 22.2
Calculated density in g/cm³: 3.8
Space-group type: C2/m
Total energy in eV/cell: -45.1
Energy relative to the elements in eV per atom: -0.508

***

Density functional theory data (PBE) for crystalline Li3Cl4 at its relaxed geometry.

Cell and atoms, written as POSCAR:
```
Li3Cl4
1.0
6.2325 0.0000 0.0000
-3.1162 5.3975 0.0000
0.0000 0.0000 4.6220
Li Cl
3 4
Cartesian
-1.5581 2.6987 0.0000
3.1162 0.0000 0.0000
1.5581 2.6987 0.0000
0.0000 0.0000 1.1635
0.0000 0.0000 3.4585
0.0000 3.5983 2.3110
3.1162 1.7992 2.3110
```

Values from the calculation:
Calculated volume in A^3/atom: 22.2
Calculated density in g/cm³: 1.7
Energy above the lowest structure with this stoichiometry in eV/atom: 0.4154
Uncorrected formation energy in meV/atom: -964
Space-group type: P6/mmm
Total energy in eV/cell: -19.9

***

Density functional theory data (PBE) for crystalline LaCdGa at its relaxed geometry.

Cell and atoms, written as POSCAR:
```
LaCdGa
1.0
4.8146 0.0000 0.0000
-2.4073 4.1696 0.0000
0.0000 0.0000 3.8236
La Cd Ga
1 1 1
Cartesian
0.0000 0.0000 0.0000
2.4073 1.3899 1.9118
0.0000 2.7797 1.9118
```

Values from the calculation:
Calculated volume in A^3/atom: 25.6
Calculated density in g/cm³: 6.9
Space-group type: P-6m2
Total energy in eV/cell: -10.3
Energy relative to the elements in eV per atom: -0.483

***

Density functional theory data (PBE) for crystalline BaScCu2 at its relaxed geometry.

Cell and atoms, written as POSCAR:
```
BaScCu2
1.0
0.0000 3.4868 3.4868
3.4868 0.0000 3.4868
3.4868 3.4868 0.0000
Ba Sc Cu
1 1 2
Cartesian
0.0000 0.0000 0.0000
1.7434 1.7434 1.7434
3.4868 3.4868 3.4868
5.2302 5.2302 5.2302
```

Values from the calculation:
Calculated volume in A^3/atom: 21.2
Calculated density in g/cm³: 6.1
Energy above the lowest structure with this stoichiometry in eV/atom: 0.4304
Space-group type: F-43m
Total energy in eV/cell: -14.9
Energy relative to the elements in eV per atom: 0.389

***

Density functional theory data (PBE) for crystalline Ac2ScPd6Pb at its relaxed geometry.

Cell and atoms, written as POSCAR:
```
Ac2ScPd6Pb
1.0
5.7544 0.0000 0.0000
2.8762 6.3543 0.0000
2.8732 -0.1017 6.4213
Ac Sc Pd Pb
2 1 6 1
Cartesian
2.8755 1.3765 1.8530
8.6283 4.8760 4.5683
0.0000 0.0000 0.0000
5.7353 3.5993 5.9386
4.3291 4.8587 1.5735
4.3182 1.3868 4.8322
7.1855 4.8658 1.5891
7.1747 1.3939 4.8479
5.7685 2.6532 0.4827
5.7519 3.1263 3.2107
```

Values from the calculation:
Calculated volume in A^3/atom: 23.5
Calculated density in g/cm³: 9.5
Space-group type: P-1
Total energy in eV/cell: -55.3
Energy relative to the elements in eV per atom: -0.585

***

Density functional theory data (PBE) for crystalline LiGaS3 at its relaxed geometry.

Cell and atoms, written as POSCAR:
```
LiGaS3
1.0
4.7506 0.0000 0.0000
0.0000 4.7506 0.0000
0.0000 0.0000 4.7506
Li Ga S
1 1 3
Cartesian
0.0000 0.0000 0.0000
2.3753 2.3753 2.3753
0.0000 2.3753 2.3753
2.3753 0.0000 2.3753
2.3753 2.3753 0.0000
```

Values from the calculation:
Calculated volume in A^3/atom: 21.4
Calculated density in g/cm³: 2.7
Energy above the lowest structure with this stoichiometry in eV/atom: 0.0000
Uncorrected formation energy in meV/atom: -16
Space-group type: Pm-3m
Total energy in eV/cell: -17.4

***

Density functional theory data (PBE) for crystalline NbPtI3 at its relaxed geometry.

Cell and atoms, written as POSCAR:
```
NbPtI3
1.0
5.4688 0.0000 0.0000
0.0000 5.4688 0.0000
0.0000 0.0000 5.4688
Nb Pt I
1 1 3
Cartesian
0.0000 0.0000 0.0000
2.7344 2.7344 2.7344
0.0000 0.0000 2.7344
0.0000 2.7344 0.0000
2.7344 0.0000 0.0000
```

Values from the calculation:
Calculated volume in A^3/atom: 32.7
Calculated density in g/cm³: 6.8
Energy above the lowest structure with this stoichiometry in eV/atom: 0.0082
Uncorrected formation energy in meV/atom: 804
Space-group type: Pm-3m
Total energy in eV/cell: -16.7